1.
DFT (PBE-GGA) results for a relaxed structure of Sm2Sc2CBr4Cl.

Calculated values
crystal system: monoclinic
energy above the most stable polymorph in this dataset: 59 meV/atom
DFT total energy: -5.397 eV per atom

Cell lengths 17.5878, 3.7112, 7.7984 Å; angles 90.00, 104.00, 90.00 degrees
Space group C2/m (No. 12)
Asymmetric unit:
Sm  0.1425  0.0000  0.0799
Sc  0.0001  0.5000  0.1959
C  0.0000  0.0000  0.0000
Br  0.1576  0.5000  0.3663
Br  0.1632  0.5000  0.8069
Cl  0.0000  0.0000  0.5000

=====

2.
DFT (PBE-GGA) results for a relaxed structure of Sm2Sc2CBr2Cl3.

Calculated values
crystal system: monoclinic
energy above the most stable polymorph in this dataset: 41 meV/atom
DFT total energy: -5.558 eV per atom

Cell lengths 17.4154, 3.6607, 7.6355 Å; angles 90.00, 104.34, 90.00 degrees
Space group C2/m (No. 12)
Asymmetric unit:
Sm  0.1440  0.0000  0.0859
Sc  0.0006  0.5000  0.2003
C  0.0000  0.0000  0.0000
Br  0.1638  0.5000  0.8043
Cl  0.0000  0.0000  0.5000
Cl  0.1521  0.5000  0.3572

=====

3.
DFT (PBE-GGA) results for a relaxed structure of Sm2Sc2CBrCl4.

Calculated values
crystal system: monoclinic
DFT total energy: -5.673 eV per atom

Cell lengths 16.7270, 3.7012, 8.3683 Å; angles 90.00, 103.56, 90.00 degrees
Space group C2/m (No. 12)
Asymmetric unit:
Sm  0.0003  0.0000  0.2050
Sc  0.1380  0.5000  0.0667
C  0.0000  0.5000  0.0000
Br  0.0000  0.5000  0.5000
Cl  0.1716  0.0000  0.2900
Cl  0.1731  0.0000  0.8696

=====

4.
DFT (PBE-GGA) results for a relaxed structure of Sm2Sc2CBr4Cl.

Calculated values
crystal system: monoclinic
energy above the most stable polymorph in this dataset: 0 meV/atom
DFT total energy: -5.457 eV per atom

Cell lengths 17.9751, 3.7435, 8.0341 Å; angles 90.00, 102.63, 90.00 degrees
Space group C2/m (No. 12)
Asymmetric unit:
Sm  0.0007  0.0000  0.2871
Sc  0.1282  0.5000  0.5661
C  0.0000  0.5000  0.5000
Br  0.1666  0.0000  0.8187
Br  0.1693  0.0000  0.3503
Cl  0.0000  0.5000  0.0000